VZn5Pd6 | PBE | optimized geometry

The structure in extended XYZ format:
```
12
Lattice="3.874 -0.023 1.291 0.037 6.988 0.012 0.003 -0.011 6.451" Properties=species:S:1:pos:R:3 pbc="T T T"
Zn 2.596 3.471 5.189
Zn 1.298 -0.011 2.564
Zn 0.019 3.494 0.006
Zn 2.579 -0.023 5.178
Zn 1.318 3.483 2.565
Pd 3.256 5.209 3.239
Pd 3.238 1.734 3.233
Pd 1.946 1.731 0.649
Pd 1.965 5.235 0.655
Pd 0.676 5.220 4.521
Pd 0.658 1.745 4.515
V 0.000 0.000 0.000
```

VASP energy ... -4.35 eV/atom
Energy of formation ... -0.459 eV per atom



FeHgAs | PBE | optimized geometry

The structure in extended XYZ format:
```
3
Lattice="4.076 0.000 0.000 -2.038 3.530 0.000 0.000 0.000 3.948" Properties=species:S:1:pos:R:3 pbc="T T T"
As 0.000 0.000 0.657
Fe 2.038 1.177 0.659
Hg 0.000 2.353 2.632
```

VASP energy ... -4.12 eV/atom
Energy of formation ... 0.349 eV per atom
ΔE to the lowest computed polymorph ... 143 meV/atom